Entry 1:
PBE YV3B, relaxed; energy of formation = 2.84 eV/atom; raw total energy = -0.19314 hartree per atom; SG = Pm-3m, No. 221; magnetic moment = 0.1 μB per cell; volume = 93 Å³ per cell
1.0
4.524 0.000 0.000
0.000 4.524 0.000
0.000 0.000 4.524
Y V B
1 3 1
Cartesian
0.000 0.000 0.000
0.000 0.000 2.262
0.000 2.262 0.000
2.262 0.000 0.000
2.262 2.262 2.262

---

Entry 2:
PBE VZn3B, relaxed; energy of formation = 1.71 eV/atom; raw total energy = -0.08139 hartree per atom; SG = Pm-3m, No. 221; magnetic moment = 3.7 μB per cell; volume = 118 Å³ per cell
1.0
4.901 0.000 0.000
0.000 4.901 0.000
0.000 0.000 4.901
V Zn B
1 3 1
Cartesian
0.000 0.000 0.000
0.000 0.000 2.450
0.000 2.450 0.000
2.450 0.000 0.000
2.450 2.450 2.450

---

Entry 3:
PBE VZn2B, relaxed; energy of formation = 0.50 eV/atom; raw total energy = -0.15019 hartree per atom; SG = I-42d, No. 122; magnetic moment = 0.0 μB per cell; volume = 102 Å³ per cell
1.0
-1.663 1.663 9.205
1.663 -1.663 9.205
1.663 1.663 -9.205
V Zn B
2 4 2
Cartesian
0.000 0.000 0.000
0.000 1.663 4.602
0.832 -0.819 6.903
0.845 0.832 2.301
0.832 2.482 -2.301
0.819 0.832 11.506
1.663 0.000 4.602
0.000 0.000 9.205

---

The highest energy of formation belongs to which entry?
YV3B

---

Look up the volume of the first one.
93 Å³ per cell

---

Copy entry 2 word for word.
PBE VZn3B, relaxed; energy of formation = 1.71 eV/atom; raw total energy = -0.08139 hartree per atom; SG = Pm-3m, No. 221; magnetic moment = 3.7 μB per cell; volume = 118 Å³ per cell
1.0
4.901 0.000 0.000
0.000 4.901 0.000
0.000 0.000 4.901
V Zn B
1 3 1
Cartesian
0.000 0.000 0.000
0.000 0.000 2.450
0.000 2.450 0.000
2.450 0.000 0.000
2.450 2.450 2.450

---

The lowest magnetic moment belongs to which entry?
VZn2B